Entry 1
DFT (PBE+U) results for K2Li2NiO4 after structural relaxation.

Geometry as extended XYZ:
```
36
Lattice="5.584 -0.082 -0.019 -0.028 9.019 -0.081 1.452 0.456 10.206" Properties=species:S:1:pos:R:3 pbc="T T T"
Li 2.430 6.886 1.969
Li 1.694 4.787 0.751
Ni 4.567 6.494 0.527
O 5.469 0.492 3.626
Li 6.023 7.044 7.031
Li 5.123 8.803 5.477
O 2.791 1.659 3.671
O 6.177 6.929 8.945
K 3.326 7.476 8.801
O 3.306 4.713 9.088
O 2.944 1.526 9.091
K 5.304 6.262 3.685
Ni 2.523 3.176 9.558
K 2.012 1.996 6.559
K 2.481 4.467 3.907
O 2.626 7.481 3.805
O 1.389 8.468 6.041
K 4.027 2.918 1.170
Ni 2.590 7.187 5.614
Li 0.998 2.262 3.037
O 4.294 7.111 6.121
K 4.756 4.298 6.907
K 5.524 0.861 8.735
Ni 4.480 1.921 4.404
Li 3.755 8.880 2.837
O 4.698 1.604 6.154
O 3.654 8.056 0.931
Li 1.646 9.158 4.203
K 0.979 0.090 1.233
O 3.532 5.425 1.543
O 1.186 2.857 1.183
O 0.683 6.391 1.171
Li 1.569 5.268 8.377
O 6.494 3.373 8.767
O 5.310 3.475 4.018
O 1.777 5.783 6.399
```

SG: P1

=====

Entry 2
DFT (PBE+U) results for K2Li2NiO4 after structural relaxation.

Geometry as extended XYZ:
```
36
Lattice="9.269 0.000 0.000 0.000 5.502 -0.008 0.000 4.179 10.264" Properties=species:S:1:pos:R:3 pbc="T T T"
Li 2.364 6.691 8.372
O 5.308 1.992 1.198
O 8.142 1.698 0.969
O 2.773 4.980 9.245
Ni 2.656 8.769 9.799
K 6.686 8.049 8.656
Li 2.270 4.602 3.240
K 9.266 4.265 1.384
K 7.218 5.959 3.524
O 3.508 5.893 4.156
Ni 6.613 0.912 0.457
O 1.861 2.890 4.113
Li 4.521 5.844 9.571
K 2.583 1.632 1.601
O 6.495 4.701 1.011
O 2.890 4.396 1.357
K 0.002 5.416 8.872
O 1.126 7.983 9.288
O 3.961 7.688 9.058
O 0.673 5.599 3.926
K 4.632 3.326 3.740
Li 6.998 5.079 7.017
Li 9.155 5.926 5.817
K 2.051 3.721 6.733
Ni 7.290 3.002 5.589
O 5.761 3.787 6.101
O 7.408 6.791 6.143
Li 4.748 3.837 0.685
K 4.637 6.355 6.516
O 8.596 4.082 6.330
Ni 1.979 6.679 4.667
Li 6.905 2.989 1.885
O 1.745 6.486 6.489
Li 0.113 3.754 4.439
O 7.524 3.195 3.767
O 6.379 5.284 8.899
```

SG: P2_1/c

=====

Of them, entry 1 has the highest stability.